# 1
## YTa2W (PBE-GGA)

Data for a geometry-optimized YTa2W structure.

Cell lengths 5.6566, 5.6566, 2.8770 Å; angles 99.78, 99.78, 116.73 degrees
Last column: nearest neighbours and their distance in Å.
Element x y z (fractional)
Y (0.0000, 0.0000, 0.0000)  2 Y 2.88, 4 Ta 2.95, 2 W 2.97
Ta (0.0000, 0.5000, 0.5000)  4 Ta 2.88-2.97, 2 W 2.95, 2 Y 2.95
Ta (0.5000, 0.0000, 0.5000)  4 Ta 2.88-2.97, 2 W 2.95, 2 Y 2.95
W (0.5000, 0.5000, 0.0000)  2 W 2.88, 4 Ta 2.95, 2 Y 2.97

Properties
SG ... No. 12
Energy of formation ... 0.449 eV/atom
DFT total energy ... -10.332 eV per atom
D(E_F) ... 5.691 states/eV per cell
Crystal system ... monoclinic
Offset from the most stable computed form ... 0.1993 eV per atom

# 2
## YTaW (PBE-GGA)

Data for a geometry-optimized YTaW structure.

Cell lengths 7.7297, 7.5055, 3.0153 Å; angles 82.80, 74.44, 22.77 degrees
Last column: nearest neighbours and their distance in Å.
Element x y z (fractional)
Y (0.0000, 0.0000, 0.0000)  6 Y 3.02-3.37, 2 W 3.05, 2 Ta 3.25
Ta (0.6896, 0.6896, 0.3104)  2 W 2.62
W (0.3264, 0.3264, 0.6736)  2 Ta 2.62

Properties
SG ... No. 42
Energy of formation ... 0.416 eV/atom
DFT total energy ... -10.007 eV per atom
D(E_F) ... 2.769 states/eV per cell
Crystal system ... orthorhombic
Offset from the most stable computed form ... 0.1398 eV per atom

# 3
## YTa2W (PBE-GGA)

Data for a geometry-optimized YTa2W structure.

Cell lengths 2.9809, 4.5870, 5.9824 Å; angles 90.00, 101.23, 90.00 degrees
Last column: nearest neighbours and their distance in Å.
Element x y z (fractional)
Y (0.0000, 0.0000, 0.0000)  2 Y 2.98, 2 W 3.07, 4 Ta 3.09
Ta (0.2936, 0.5000, 0.7129)  2 W 2.75, 4 Ta 2.80-3.04
Ta (0.7064, 0.5000, 0.2871)  2 W 2.75, 4 Ta 2.80-3.04
W (0.5000, 0.0000, 0.5000)  4 Ta 2.75, 2 W 2.98, 2 Y 3.07

Properties
SG ... No. 10
Energy of formation ... 0.339 eV/atom
DFT total energy ... -10.442 eV per atom
D(E_F) ... 4.299 states/eV per cell
Crystal system ... monoclinic
Offset from the most stable computed form ... 0.0895 eV per atom

Question: Look up the D(E_F) of the first one.
Answer: 5.691 states/eV per cell

Question: Look up the DFT total energy of the first one.
Answer: -10.332 eV per atom

Question: Among the records above, which one has the lowest DFT total energy?
Answer: number 3